Record 1
A plane-wave DFT calculation with GGA-PBE was carried out for a relaxed structure of Ho3TlH.

Cell: 11.366 11.366 6.308 Å, 90.00 90.00 143.04°
Sites, in units of the cell vectors:
Ho 0.038 0.962 0.759
Ho 0.146 0.354 0.750
Ho 0.241 0.759 0.476
Ho 0.259 0.741 0.976
Ho 0.354 0.146 0.250
Ho 0.462 0.538 0.259
Ho 0.538 0.462 0.741
Ho 0.646 0.854 0.750
Ho 0.741 0.259 0.024
Ho 0.759 0.241 0.524
Ho 0.854 0.646 0.250
Ho 0.962 0.038 0.241
Tl 0.095 0.405 0.250
Tl 0.405 0.095 0.750
Tl 0.595 0.905 0.250
Tl 0.905 0.595 0.750
H 0.058 0.942 0.110
H 0.442 0.558 0.610
H 0.558 0.442 0.390
H 0.942 0.058 0.890

Values from the calculation:
spin magnetization: 0.00 Bohr magnetons per cell
N(E_F): 20.18 states/eV per cell
energy above the most stable polymorph in this dataset: 28.5 meV/atom

Record 2
A plane-wave DFT calculation with GGA-PBE was carried out for a relaxed structure of Ho3TlH2.

Cell: 8.967 8.967 8.177 Å, 90.61 90.61 22.97°
Sites, in units of the cell vectors:
Ho 0.060 0.060 0.294
Ho 0.265 0.265 0.814
Ho 0.411 0.411 0.097
Ho 0.589 0.589 0.903
Ho 0.735 0.735 0.186
Ho 0.940 0.940 0.706
Tl 0.337 0.337 0.455
Tl 0.663 0.663 0.545
H 0.057 0.057 0.776
H 0.284 0.284 0.074
H 0.716 0.716 0.926
H 0.943 0.943 0.224

Values from the calculation:
calculated total energy: -4.101 eV/atom
spin magnetization: 0.00 Bohr magnetons per cell
N(E_F): 8.18 states/eV per cell

Record 3
A plane-wave DFT calculation with GGA-PBE was carried out for a relaxed structure of Ho4Tl3H.

Cell: 4.290 10.669 9.093 Å, 90.00 90.00 90.00°
Sites, in units of the cell vectors:
Ho 0.250 0.071 0.195
Ho 0.250 0.250 0.832
Ho 0.250 0.429 0.195
Ho 0.250 0.750 0.553
Ho 0.750 0.250 0.447
Ho 0.750 0.571 0.805
Ho 0.750 0.750 0.168
Ho 0.750 0.929 0.805
Tl 0.250 0.056 0.596
Tl 0.250 0.444 0.596
Tl 0.250 0.750 0.939
Tl 0.750 0.250 0.061
Tl 0.750 0.556 0.404
Tl 0.750 0.944 0.404
H 0.250 0.250 0.331
H 0.750 0.750 0.669

Values from the calculation:
calculated total energy: -3.890 eV/atom
spin magnetization: 0.00 Bohr magnetons per cell
N(E_F): 10.16 states/eV per cell

Record 4
A plane-wave DFT calculation with GGA-PBE was carried out for a relaxed structure of Ho5Tl2H.

Cell: 6.903 6.903 8.946 Å, 90.00 90.00 90.00°
Sites, in units of the cell vectors:
Ho 0.000 0.000 0.000
Ho 0.248 0.248 0.745
Ho 0.248 0.752 0.745
Ho 0.252 0.252 0.245
Ho 0.252 0.748 0.245
Ho 0.500 0.500 0.500
Ho 0.748 0.252 0.245
Ho 0.748 0.748 0.245
Ho 0.752 0.248 0.745
Ho 0.752 0.752 0.745
Tl 0.000 0.500 0.497
Tl 0.000 0.500 0.997
Tl 0.500 0.000 0.497
Tl 0.500 0.000 0.997
H 0.000 0.000 0.248
H 0.500 0.500 0.748

Values from the calculation:
calculated total energy: -3.999 eV/atom
spin magnetization: 0.00 Bohr magnetons per cell
N(E_F): 17.49 states/eV per cell

Question: Look up the spin magnetization of the second one.
Answer: 0.00 Bohr magnetons per cell

Question: Which value of N(E_F) does entry 4 give?
Answer: 17.49 states/eV per cell

What did the third record say?
A plane-wave DFT calculation with GGA-PBE was carried out for a relaxed structure of Ho4Tl3H.

Cell: 4.290 10.669 9.093 Å, 90.00 90.00 90.00°
Sites, in units of the cell vectors:
Ho 0.250 0.071 0.195
Ho 0.250 0.250 0.832
Ho 0.250 0.429 0.195
Ho 0.250 0.750 0.553
Ho 0.750 0.250 0.447
Ho 0.750 0.571 0.805
Ho 0.750 0.750 0.168
Ho 0.750 0.929 0.805
Tl 0.250 0.056 0.596
Tl 0.250 0.444 0.596
Tl 0.250 0.750 0.939
Tl 0.750 0.250 0.061
Tl 0.750 0.556 0.404
Tl 0.750 0.944 0.404
H 0.250 0.250 0.331
H 0.750 0.750 0.669

Values from the calculation:
calculated total energy: -3.890 eV/atom
spin magnetization: 0.00 Bohr magnetons per cell
N(E_F): 10.16 states/eV per cell

Question: Which of these has the highest N(E_F)?
Answer: Ho3TlH